No. 1
First-principles (GGA-PBE) data for Cd2BiPd after structural relaxation, as listed in Alexandria via LeMat-Bulk.

Results
Energy of formation from the pure elements (eV/atom): -0.075
E_tot (eV/atom): -2.801

Cell: 4.4193 4.4193 4.5061 Å, 90.00 90.00 90.00°
With the nearest neighbours (Å) after each atom.
Space group P4/mmm (No. 123)
Inequivalent atoms, fractional coordinates:
Cd 0.0000 0.5000 0.0000  4 Cd 3.12, 4 Bi 3.16, 4 Pd 3.16
Bi 0.0000 0.0000 0.5000  4 Pd 3.12, 8 Cd 3.16
Pd 0.5000 0.5000 0.5000  4 Bi 3.12, 8 Cd 3.16

---

No. 2
First-principles (GGA-PBE) data for Tb3Ge2SbRh9 after structural relaxation, as listed in Alexandria via LeMat-Bulk.

Results
E_tot (eV/atom): -6.642
Energy relative to the elements, uncorrected (eV/atom): -0.415

Cell: 6.3079 6.3079 9.1530 Å, 90.00 90.00 120.00°
With the nearest neighbours (Å) after each atom.
Space group P-3m1 (No. 164)
Inequivalent atoms, fractional coordinates:
Tb 0.0000 0.0000 0.0000  12 Rh 2.90-3.15
Tb 0.3333 0.6667 0.7456  9 Rh 2.96-3.17
Ge 0.3333 0.6667 0.1715  6 Rh 2.29-2.40
Sb 0.0000 0.0000 0.5000  6 Rh 2.61
Rh 0.0000 0.5000 0.0000  2 Ge 2.40
Rh 0.1404 0.2808 0.2692  1 Ge 2.29

---

Which of these has the lowest E_tot? Tb3Ge2SbRh9

---

Copy entry 1 word for word.
First-principles (GGA-PBE) data for Cd2BiPd after structural relaxation, as listed in Alexandria via LeMat-Bulk.

Results
Energy of formation from the pure elements (eV/atom): -0.075
E_tot (eV/atom): -2.801

Cell: 4.4193 4.4193 4.5061 Å, 90.00 90.00 90.00°
With the nearest neighbours (Å) after each atom.
Space group P4/mmm (No. 123)
Inequivalent atoms, fractional coordinates:
Cd 0.0000 0.5000 0.0000  4 Cd 3.12, 4 Bi 3.16, 4 Pd 3.16
Bi 0.0000 0.0000 0.5000  4 Pd 3.12, 8 Cd 3.16
Pd 0.5000 0.5000 0.5000  4 Bi 3.12, 8 Cd 3.16